Entry from the Alexandria database: a geometry-optimized Ba3MoPt structure (PBE-GGA).

Structure (POSCAR):
```
Ba3MoPt
1.0
6.149 0.000 0.000
0.000 6.149 0.000
0.000 0.000 6.149
Mo Ba Pt
1 3 1
direct
0.500 0.500 0.500 Mo
0.000 0.500 0.000 Ba
0.000 0.000 0.500 Ba
0.500 0.000 0.000 Ba
0.000 0.000 0.000 Pt
```

Energy of formation   217 kJ/mol of formula units